No. 1
Material: YPaGaPd
Method: DFT, PBE
State: relaxed

Lattice parameters (Å, degrees): 5.034 5.034 5.034 60.00 60.00 60.00
Site moments in Bohr magnetons follow the coordinates.
Atoms (fractional coordinates):
Y: 0.250 0.250 0.250  0.14
Pa: 0.750 0.750 0.750  0.69
Ga: 0.500 0.500 0.500  -0.02
Pd: 0.000 0.000 0.000  0.00

Properties
Formation energy from the elements (eV per atom): -0.358
Final energy (eV per atom): -6.403

=====

No. 2
Material: LiCo2Re
Method: DFT, PBE
State: relaxed

Lattice parameters (Å, degrees): 4.293 4.293 4.636 84.53 84.53 34.48
Site moments in Bohr magnetons follow the coordinates.
Atoms (fractional coordinates):
Co: 0.999 0.999 0.002  0.90
Co: 0.501 0.501 0.498  0.90
Li: 0.750 0.750 0.750  0.00
Re: 0.250 0.250 0.250  0.10

Properties
Energy relative to the lowest polymorph listed for this composition (eV per atom): 0.127
Formation energy from the elements (eV per atom): 0.275
Final energy (eV per atom): -6.868